Computed, not measured: Mn2VO after structural relaxation at the GGA+U level of DFT.

Size of the total moment ... 25.795 Bohr magnetons per cell
Density ... 3.77 g cm⁻³
E ... -6.49 eV per atom
Symmetry ... I-42d (122)

Unit cell a=6.608 b=6.608 c=5.877 alpha=55.79 beta=55.79 gamma=90.00
Fractional positions:
V 0.750 0.250 0.500
V 0.000 0.000 0.000
Mn 0.875 0.752 0.750
Mn 0.248 0.625 0.250
Mn 0.375 0.498 0.750
Mn 0.502 0.125 0.250
O 0.250 0.750 0.500
O 0.500 0.500 0.000